First-principles (GGA-PBE) data for an optimized crystal structure of Ce2AlN3, as listed in Alexandria via LeMat-Bulk. Values from VASP.

Computed properties:
E_form (uncorrected) = -1.324 eV per atom
Total magnetic moment = 1.86 μB per formula unit
Fermi-level density of states = 8.23 states/eV/f.u.
SG = C2/c (15)
Raw total energy = -194.1 eV per cell

Cell and atoms, written as Quantum ESPRESSO input:
```
&SYSTEM
  ibrav = 0, nat = 24, ntyp = 3
/
ATOMIC_SPECIES
Ce 140.12 Ce.upf
Al 26.98 Al.upf
N 14.01 N.upf
ATOMIC_POSITIONS crystal
Ce 0.0285 0.4370 0.3514
Ce 0.1328 0.3482 0.9275
Ce 0.3482 0.1328 0.4275
Ce 0.4370 0.0285 0.8514
Ce 0.5630 0.9715 0.1486
Ce 0.6518 0.8672 0.5725
Ce 0.8672 0.6518 0.0725
Ce 0.9715 0.5630 0.6486
Al 0.2694 0.2708 0.1652
Al 0.2708 0.2694 0.6652
Al 0.7292 0.7306 0.3348
Al 0.7306 0.7292 0.8348
N 0.0094 0.9906 0.7500
N 0.1268 0.3239 0.5306
N 0.1424 0.4923 0.1309
N 0.3239 0.1268 0.0306
N 0.3999 0.6001 0.7500
N 0.4923 0.1424 0.6309
N 0.5077 0.8576 0.3691
N 0.6001 0.3999 0.2500
N 0.6761 0.8732 0.9694
N 0.8576 0.5077 0.8691
N 0.8732 0.6761 0.4694
N 0.9906 0.0094 0.2500
CELL_PARAMETERS angstrom
2.7277 -5.3687 0.0000
2.7277 5.3687 0.0000
-0.7845 0.0000 11.7200
```

***

First-principles (GGA-PBE) data for an optimized crystal structure of Ce2NbAlN5, as listed in Alexandria via LeMat-Bulk. Values from VASP.

Computed properties:
E_form (uncorrected) = -1.262 eV per atom
Total magnetic moment = 0.21 μB per formula unit
Fermi-level density of states = 3.84 states/eV/f.u.
SG = Cmc2_1 (36)
Raw total energy = -157.3 eV per cell

Cell and atoms, written as Quantum ESPRESSO input:
```
&SYSTEM
  ibrav = 0, nat = 18, ntyp = 4
/
ATOMIC_SPECIES
Ce 140.12 Ce.upf
Nb 92.91 Nb.upf
Al 26.98 Al.upf
N 14.01 N.upf
ATOMIC_POSITIONS crystal
Ce 0.1180 0.8820 0.5000
Ce 0.1319 0.8681 0.0814
Ce 0.8681 0.1319 0.5814
Ce 0.8820 0.1180 0.0000
Nb 0.2175 0.7825 0.7984
Nb 0.7825 0.2175 0.2984
Al 0.4873 0.5127 0.2732
Al 0.5127 0.4873 0.7732
N 0.0560 0.9440 0.8383
N 0.2849 0.7151 0.4432
N 0.2996 0.7004 0.1604
N 0.3668 0.6332 0.8028
N 0.4987 0.5013 0.5837
N 0.5013 0.4987 0.0837
N 0.6332 0.3668 0.3028
N 0.7004 0.2996 0.6604
N 0.7151 0.2849 0.9432
N 0.9440 0.0560 0.3383
CELL_PARAMETERS angstrom
1.6438 -6.7686 0.0000
1.6438 6.7686 0.0000
0.0000 0.0000 10.1264
```

***

First-principles (GGA-PBE) data for an optimized crystal structure of CeNd2AlN, as listed in Alexandria via LeMat-Bulk. Values from VASP.

Computed properties:
E_form (uncorrected) = -0.735 eV per atom
Total magnetic moment = 0.54 μB per formula unit
Fermi-level density of states = 6.53 states/eV/f.u.
SG = P4/mmm (123)
Raw total energy = -31.2 eV per cell

Cell and atoms, written as Quantum ESPRESSO input:
```
&SYSTEM
  ibrav = 0, nat = 5, ntyp = 4
/
ATOMIC_SPECIES
Ce 140.12 Ce.upf
Nd 144.24 Nd.upf
Al 26.98 Al.upf
N 14.01 N.upf
ATOMIC_POSITIONS crystal
Ce 0.0000 0.0000 0.0000
Nd 0.0000 0.5000 0.5000
Nd 0.5000 0.0000 0.5000
Al 0.5000 0.5000 0.0000
N 0.0000 0.0000 0.5000
CELL_PARAMETERS angstrom
5.0287 0.0000 0.0000
0.0000 5.0287 0.0000
0.0000 0.0000 4.7908
```

***

First-principles (GGA-PBE) data for an optimized crystal structure of Ce2AlNO3, as listed in Alexandria via LeMat-Bulk. Values from VASP.

Computed properties:
E_form (uncorrected) = -2.690 eV per atom
Total magnetic moment = 1.57 μB per formula unit
Fermi-level density of states = 10.47 states/eV/f.u.
SG = I4mm (107)
Raw total energy = -115.3 eV per cell

Cell and atoms, written as Quantum ESPRESSO input:
```
&SYSTEM
  ibrav = 0, nat = 14, ntyp = 4
/
ATOMIC_SPECIES
Ce 140.12 Ce.upf
Al 26.98 Al.upf
N 14.01 N.upf
O 16.00 O.upf
ATOMIC_POSITIONS crystal
Ce 0.0000 0.0000 0.0000
Ce 0.0000 0.0000 0.2947
Ce 0.5000 0.5000 0.5000
Ce 0.5000 0.5000 0.7947
Al 0.0000 0.0000 0.6417
Al 0.5000 0.5000 0.1417
N 0.0000 0.0000 0.4788
N 0.5000 0.5000 0.9788
O 0.0000 0.0000 0.8131
O 0.0000 0.5000 0.1521
O 0.0000 0.5000 0.6521
O 0.5000 0.0000 0.1521
O 0.5000 0.0000 0.6521
O 0.5000 0.5000 0.3131
CELL_PARAMETERS angstrom
3.7374 0.0000 0.0000
0.0000 3.7374 0.0000
0.0000 0.0000 12.4781
```

***

First-principles (GGA-PBE) data for an optimized crystal structure of Ce2PmAlN, as listed in Alexandria via LeMat-Bulk. Values from VASP.

Computed properties:
E_form (uncorrected) = -0.745 eV per atom
Total magnetic moment = 1.33 μB per formula unit
Fermi-level density of states = 8.65 states/eV/f.u.
SG = P4/mmm (123)
Raw total energy = -32.4 eV per cell

Cell and atoms, written as Quantum ESPRESSO input:
```
&SYSTEM
  ibrav = 0, nat = 5, ntyp = 4
/
ATOMIC_SPECIES
Ce 140.12 Ce.upf
Pm 145.00 Pm.upf
Al 26.98 Al.upf
N 14.01 N.upf
ATOMIC_POSITIONS crystal
Ce 0.0000 0.5000 0.0000
Ce 0.5000 0.0000 0.0000
Pm 0.0000 0.0000 0.5000
Al 0.5000 0.5000 0.5000
N 0.0000 0.0000 0.0000
CELL_PARAMETERS angstrom
4.8350 0.0000 0.0000
0.0000 4.8350 0.0000
0.0000 0.0000 5.0050
```

***

First-principles (GGA-PBE) data for an optimized crystal structure of CePm2AlN, as listed in Alexandria via LeMat-Bulk. Values from VASP.

Computed properties:
E_form (uncorrected) = -0.761 eV per atom
Total magnetic moment = 0.54 μB per formula unit
Fermi-level density of states = 6.33 states/eV/f.u.
SG = P4/mmm (123)
Raw total energy = -31.3 eV per cell

Cell and atoms, written as Quantum ESPRESSO input:
```
&SYSTEM
  ibrav = 0, nat = 5, ntyp = 4
/
ATOMIC_SPECIES
Ce 140.12 Ce.upf
Pm 145.00 Pm.upf
Al 26.98 Al.upf
N 14.01 N.upf
ATOMIC_POSITIONS crystal
Ce 0.0000 0.0000 0.0000
Pm 0.0000 0.5000 0.5000
Pm 0.5000 0.0000 0.5000
Al 0.5000 0.5000 0.0000
N 0.0000 0.0000 0.5000
CELL_PARAMETERS angstrom
4.9803 0.0000 0.0000
0.0000 4.9803 0.0000
0.0000 0.0000 4.7941
```

***

First-principles (GGA-PBE) data for an optimized crystal structure of Ce2PrAlN, as listed in Alexandria via LeMat-Bulk. Values from VASP.

Computed properties:
E_form (uncorrected) = -0.721 eV per atom
Total magnetic moment = 1.36 μB per formula unit
Fermi-level density of states = 8.94 states/eV/f.u.
SG = P4/mmm (123)
Raw total energy = -32.3 eV per cell

Cell and atoms, written as Quantum ESPRESSO input:
```
&SYSTEM
  ibrav = 0, nat = 5, ntyp = 4
/
ATOMIC_SPECIES
Ce 140.12 Ce.upf
Pr 140.91 Pr.upf
Al 26.98 Al.upf
N 14.01 N.upf
ATOMIC_POSITIONS crystal
Ce 0.0000 0.5000 0.0000
Ce 0.5000 0.0000 0.0000
Pr 0.0000 0.0000 0.5000
Al 0.5000 0.5000 0.5000
N 0.0000 0.0000 0.0000
CELL_PARAMETERS angstrom
4.8372 0.0000 0.0000
0.0000 4.8372 0.0000
0.0000 0.0000 5.0975
```

***

First-principles (GGA-PBE) data for an optimized crystal structure of Ce2PuAlN5, as listed in Alexandria via LeMat-Bulk. Values from VASP.

Computed properties:
E_form (uncorrected) = -1.222 eV per atom
Total magnetic moment = 4.01 μB per formula unit
Fermi-level density of states = 7.95 states/eV/f.u.
SG = Cmc2_1 (36)
Raw total energy = -165.1 eV per cell

Cell and atoms, written as Quantum ESPRESSO input:
```
&SYSTEM
  ibrav = 0, nat = 18, ntyp = 4
/
ATOMIC_SPECIES
Ce 140.12 Ce.upf
Pu 244.00 Pu.upf
Al 26.98 Al.upf
N 14.01 N.upf
ATOMIC_POSITIONS crystal
Ce 0.1121 0.8879 0.5000
Ce 0.1318 0.8682 0.0980
Ce 0.8682 0.1318 0.5980
Ce 0.8879 0.1121 0.0000
Pu 0.2070 0.7930 0.8095
Pu 0.7930 0.2070 0.3095
Al 0.4924 0.5076 0.2755
Al 0.5076 0.4924 0.7755
N 0.0462 0.9538 0.8377
N 0.2853 0.7147 0.4523
N 0.3030 0.6970 0.1691
N 0.3676 0.6324 0.8178
N 0.4915 0.5085 0.5887
N 0.5085 0.4915 0.0887
N 0.6324 0.3676 0.3178
N 0.6970 0.3030 0.6691
N 0.7147 0.2853 0.9523
N 0.9538 0.0462 0.3377
CELL_PARAMETERS angstrom
1.7122 -6.8794 0.0000
1.7122 6.8794 0.0000
0.0000 0.0000 10.2235
```

***

First-principles (GGA-PBE) data for an optimized crystal structure of Ce2TaAlN5, as listed in Alexandria via LeMat-Bulk. Values from VASP.

Computed properties:
E_form (uncorrected) = -1.330 eV per atom
Total magnetic moment = 0.36 μB per formula unit
Fermi-level density of states = 4.24 states/eV/f.u.
SG = Cmc2_1 (36)
Raw total energy = -162.1 eV per cell

Cell and atoms, written as Quantum ESPRESSO input:
```
&SYSTEM
  ibrav = 0, nat = 18, ntyp = 4
/
ATOMIC_SPECIES
Ce 140.12 Ce.upf
Ta 180.95 Ta.upf
Al 26.98 Al.upf
N 14.01 N.upf
ATOMIC_POSITIONS crystal
Ce 0.1174 0.8826 0.5000
Ce 0.1320 0.8680 0.0832
Ce 0.8680 0.1320 0.5832
Ce 0.8826 0.1174 0.0000
Ta 0.2168 0.7832 0.7994
Ta 0.7832 0.2168 0.2994
Al 0.4880 0.5120 0.2726
Al 0.5120 0.4880 0.7726
N 0.0581 0.9419 0.8358
N 0.2843 0.7157 0.4415
N 0.2983 0.7017 0.1639
N 0.3666 0.6334 0.8028
N 0.4987 0.5013 0.5833
N 0.5013 0.4987 0.0833
N 0.6334 0.3666 0.3028
N 0.7017 0.2983 0.6639
N 0.7157 0.2843 0.9415
N 0.9419 0.0581 0.3358
CELL_PARAMETERS angstrom
1.6374 -6.7669 0.0000
1.6374 6.7669 0.0000
0.0000 0.0000 10.1500
```

***

First-principles (GGA-PBE) data for an optimized crystal structure of Tb2CeAlN, as listed in Alexandria via LeMat-Bulk. Values from VASP.

Computed properties:
E_form (uncorrected) = -0.816 eV per atom
Total magnetic moment = 0.59 μB per formula unit
Fermi-level density of states = 5.91 states/eV/f.u.
SG = P4/mmm (123)
Raw total energy = -31.3 eV per cell

Cell and atoms, written as Quantum ESPRESSO input:
```
&SYSTEM
  ibrav = 0, nat = 5, ntyp = 4
/
ATOMIC_SPECIES
Tb 158.93 Tb.upf
Ce 140.12 Ce.upf
Al 26.98 Al.upf
N 14.01 N.upf
ATOMIC_POSITIONS crystal
Tb 0.0000 0.5000 0.0000
Tb 0.5000 0.0000 0.0000
Ce 0.0000 0.0000 0.5000
Al 0.5000 0.5000 0.5000
N 0.0000 0.0000 0.0000
CELL_PARAMETERS angstrom
4.8391 0.0000 0.0000
0.0000 4.8391 0.0000
0.0000 0.0000 4.8034
```

***

First-principles (GGA-PBE) data for an optimized crystal structure of Na2CeAl9, as listed in Alexandria via LeMat-Bulk. Values from VASP.

Computed properties:
Total magnetic moment = 0.76 μB per formula unit
Fermi-level density of states = 10.06 states/eV/f.u.
Energy of formation = -89 meV/atom
SG = R-3m (166)
Raw total energy = -43.3 eV per cell

Cell and atoms, written as Quantum ESPRESSO input:
```
&SYSTEM
  ibrav = 0, nat = 12, ntyp = 3
/
ATOMIC_SPECIES
Na 22.99 Na.upf
Ce 140.12 Ce.upf
Al 26.98 Al.upf
ATOMIC_POSITIONS crystal
Na 0.1436 0.1436 0.1436
Na 0.8564 0.8564 0.8564
Ce 0.0000 0.0000 0.0000
Al 0.0770 0.5839 0.5839
Al 0.3344 0.3344 0.3344
Al 0.4161 0.4161 0.9230
Al 0.4161 0.9230 0.4161
Al 0.5000 0.5000 0.5000
Al 0.5839 0.0770 0.5839
Al 0.5839 0.5839 0.0770
Al 0.6656 0.6656 0.6656
Al 0.9230 0.4161 0.4161
CELL_PARAMETERS angstrom
2.7972 1.6150 8.8936
-2.7972 1.6150 8.8936
0.0000 -3.2300 8.8936
```

***

> total magnetic moment of number 3 (CeNd2AlN)?

0.54 μB per formula unit

***

> Look up the total magnetic moment of the second one.

0.21 μB per formula unit